A relaxed structure of Pr3Ho2Cd6, computed with PBE.

Output
mass density	7.192	Mg/m³
size of the total moment	0.00	Bohr magnetons per cell
E_form	-0.006	eV per atom

The structure in POSCAR format:
```
Pr3Ho2Cd6
1.0
4.366 0.000 0.000
0.000 4.366 0.000
-2.183 -2.183 17.284
Pr Ho Cd
3 2 6
direct
0.000 0.000 0.000 Pr
0.821 0.821 0.642 Pr
0.179 0.179 0.358 Pr
0.366 0.366 0.732 Ho
0.634 0.634 0.268 Ho
0.071 0.571 0.142 Cd
0.571 0.071 0.142 Cd
0.929 0.429 0.858 Cd
0.429 0.929 0.858 Cd
0.725 0.725 0.449 Cd
0.275 0.275 0.551 Cd
```


A relaxed structure of K2UTlCl6, computed with PBE.

Output
total DFT energy (no corrections)	-0.16030	hartree per atom
mass density	3.402	Mg/m³
size of the total moment	3.00	Bohr magnetons per cell

The structure in POSCAR format:
```
K2UTlCl6
1.0
7.852 0.000 -0.447
0.000 8.080 0.000
-3.469 -4.040 5.839
K U Tl Cl
2 1 1 6
direct
0.208 0.249 0.498 K
0.792 0.751 0.502 K
0.000 0.500 0.000 U
0.500 0.000 0.000 Tl
0.365 0.721 0.442 Cl
0.147 0.182 0.839 Cl
0.853 0.342 0.161 Cl
0.147 0.658 0.839 Cl
0.853 0.818 0.161 Cl
0.635 0.279 0.558 Cl
```


A relaxed structure of Mg2ZnTc, computed with PBE.

Output
energy above the most stable polymorph in this dataset	63	meV/atom
mass density	5.270	Mg/m³
size of the total moment	0.00	Bohr magnetons per cell
E_form	0.148	eV per atom

The structure in POSCAR format:
```
Mg2ZnTc
1.0
2.802 0.000 0.000
0.000 4.194 0.000
0.000 0.000 5.683
Mg Tc Zn
2 1 1
direct
0.000 0.000 0.991 Mg
0.500 0.500 0.274 Mg
0.000 0.000 0.504 Tc
0.500 0.500 0.732 Zn
```